1.
This record from Alexandria describes a geometry-optimized TeIrRh2 structure. The functional is PBEsol.

Output
- N(E_F) (states/eV per cell) = 4.51
- ΔE_f (raw) (eV per atom) = 0.23
- space group = No. 25
- energy (eV/atom) = -7.1784

a = 2.954 Å, b = 3.744 Å, c = 5.640 Å
α = 90.00°, β = 90.00°, γ = 90.00°
Positions (direct):
Ir (0.500, 0.500, 0.776)
Rh (0.000, 0.000, 0.995)
Rh (0.500, 0.500, 0.240)
Te (0.000, 0.000, 0.489)

=====

2.
This record from Alexandria describes a geometry-optimized Li2LaTa structure. The functional is PBEsol.

Output
- polymorph energy (0 for the lowest one) (eV/atom) = 0.001
- N(E_F) (states/eV per cell) = 3.18
- energy of formation (eV/f.u.) = 1.83
- space group = No. 166
- energy (eV/atom) = -4.9992

a = 2.957 Å, b = 2.957 Å, c = 11.147 Å
α = 82.38°, β = 82.38°, γ = 60.00°
Positions (direct):
La (0.000, 0.000, 0.000)
Li (0.241, 0.241, 0.276)
Li (0.759, 0.759, 0.724)
Ta (0.500, 0.500, 0.500)

=====

3.
This record from Alexandria describes a geometry-optimized Ba2OsPt structure. The functional is PBEsol.

Output
- polymorph energy (0 for the lowest one) (eV/atom) = 0.349
- N(E_F) (states/eV per cell) = 6.04
- energy of formation (eV/f.u.) = 2.83
- space group = No. 119
- energy (eV/atom) = -5.1623

a = 4.494 Å, b = 4.494 Å, c = 5.931 Å
α = 112.26°, β = 112.26°, γ = 90.00°
Positions (direct):
Os (0.500, 0.500, 0.000)
Ba (0.000, 0.000, 0.000)
Ba (0.750, 0.250, 0.500)
Pt (0.250, 0.750, 0.500)

=====

4.
This record from Alexandria describes a geometry-optimized SrLi3La structure. The functional is PBEsol.

Output
- N(E_F) (states/eV per cell) = 8.32
- energy of formation (eV/f.u.) = 3.64
- space group = No. 221
- energy (eV/atom) = -1.8886

a = 5.667 Å, b = 5.667 Å, c = 5.667 Å
α = 90.00°, β = 90.00°, γ = 90.00°
Positions (direct):
Sr (0.500, 0.500, 0.500)
Li (0.000, 0.500, 0.000)
Li (0.000, 0.000, 0.500)
Li (0.500, 0.000, 0.000)
La (0.000, 0.000, 0.000)

=====

5.
This record from Alexandria describes a geometry-optimized TaTl2Cu structure. The functional is PBEsol.

Output
- polymorph energy (0 for the lowest one) (eV/atom) = 0.077
- N(E_F) (states/eV per cell) = 1.77
- energy of formation (eV/f.u.) = 2.31
- space group = No. 10
- energy (eV/atom) = -4.9591

a = 3.020 Å, b = 4.359 Å, c = 5.862 Å
α = 90.00°, β = 95.75°, γ = 90.00°
Positions (direct):
Cu (0.500, 0.500, 0.000)
Ta (0.000, 0.500, 0.500)
Tl (0.629, 0.000, 0.755)
Tl (0.371, 0.000, 0.245)

=====

6.
This record from Alexandria describes a geometry-optimized Y2HgSb2 structure. The functional is PBEsol.

Output
- N(E_F) (states/eV per cell) = 3.70
- ΔE_f (raw) (eV per atom) = -0.47
- space group = No. 139
- energy (eV/atom) = -5.1378

a = 5.401 Å, b = 5.401 Å, c = 6.658 Å
α = 113.93°, β = 113.93°, γ = 90.00°
Positions (direct):
Hg (0.000, 0.000, 0.000)
Sb (0.633, 0.633, 0.267)
Sb (0.367, 0.367, 0.733)
Y (0.250, 0.750, 0.500)
Y (0.750, 0.250, 0.500)

=====

Among the records above, which one has the lowest energy?
TeIrRh2

=====

Look up the N(E_F) of the second one.
3.18 states/eV per cell

=====

The lowest energy belongs to which entry?
TeIrRh2